# ScPb2WO6 (PBE with a Hubbard U, relaxed)
data_ScPb2WO6
_symmetry_space_group_name_H-M 'P 1 21/c 1'
_symmetry_Int_Tables_number 14
_cell_length_a 5.7521
_cell_length_b 5.7760
_cell_length_c 10.0882
_cell_angle_alpha 90.00
_cell_angle_beta 124.61
_cell_angle_gamma 90.00
loop_
_symmetry_equiv_pos_as_xyz
'x,y,z'
'-x,-y,-z'
'-x,y+1/2,-z+1/2'
'x,-y+1/2,z+1/2'
loop_
_atom_site_label
_atom_site_type_symbol
_atom_site_fract_x
_atom_site_fract_y
_atom_site_fract_z
Sc1 Sc 0.0000 0.0000 0.0000
Pb1 Pb 0.2497 0.0277 0.7409
W1 W 0.5000 0.0000 0.5000
O1 O 0.1942 0.2068 0.4818
O2 O 0.2747 0.7300 0.4786
O3 O 0.3033 0.0126 0.2543
# VASP energy = -142.76 eV/cell
# D(E_F) = 0.000 states/eV/cell